## HfZr6Hg5 (PBE)

Data for a relaxed structure of HfZr6Hg5.

Cell and atoms, written as CIF:
```
data_HfZr6Hg5
_chemical_formula_sum 'Hf1 Zr6 Hg5'
_symmetry_space_group_name_H-M 'P 1'
_symmetry_Int_Tables_number 1
_cell_length_a 7.081
_cell_length_b 7.081
_cell_length_c 8.705
_cell_angle_alpha 90.00
_cell_angle_beta 90.00
_cell_angle_gamma 143.32
loop_
_symmetry_equiv_pos_as_xyz
'x,y,z'
loop_
_atom_site_label
_atom_site_type_symbol
_atom_site_fract_x
_atom_site_fract_y
_atom_site_fract_z
Hf1 Hf 0.000 0.000 0.000
Zr1 Zr 0.166 0.834 0.250
Zr2 Zr 0.166 0.834 0.750
Zr3 Zr 0.500 0.500 0.249
Zr4 Zr 0.500 0.500 0.751
Zr5 Zr 0.834 0.166 0.250
Zr6 Zr 0.834 0.166 0.750
Hg1 Hg 0.000 0.000 0.500
Hg2 Hg 0.334 0.666 0.000
Hg3 Hg 0.334 0.666 0.500
Hg4 Hg 0.666 0.334 0.000
Hg5 Hg 0.666 0.334 0.500
```

Summary:
- energy (eV per atom) = -5.347
- DFT formation energy (eV per atom) = -0.117
- M_tot (μB per formula unit) = 0.0